(1)
Density functional theory data (PBE) for an optimized crystal structure of Pr2CdGa2Rh5. Values from VASP.

Computed properties:
As for the total DFT energy (no corrections): -118.99 eV for the cell shown. Its formation energy from the elements is -0.6209 eV per atom. For the magnetization, the calculation gives 0.000 μB per atom.

Cell and atoms, written as Quantum ESPRESSO input:
```
&SYSTEM
  ibrav = 0, nat = 20, ntyp = 4
/
ATOMIC_SPECIES
Pr 140.91 Pr.upf
Cd 112.41 Cd.upf
Ga 69.72 Ga.upf
Rh 102.91 Rh.upf
CELL_PARAMETERS angstrom
10.0372 0.0000 0.0000
0.0000 10.0372 0.0000
0.0000 0.0000 3.6327
ATOMIC_POSITIONS crystal
Pr 0.1763 0.3237 0.0000
Pr 0.3237 0.8237 0.0000
Pr 0.6763 0.1763 0.0000
Pr 0.8237 0.6763 0.0000
Cd 0.0000 0.0000 0.0000
Cd 0.5000 0.5000 0.0000
Ga 0.1217 0.6217 0.0000
Ga 0.3783 0.1217 0.0000
Ga 0.6217 0.8783 0.0000
Ga 0.8783 0.3783 0.0000
Rh 0.0000 0.5000 0.5000
Rh 0.0671 0.7882 0.5000
Rh 0.2118 0.0671 0.5000
Rh 0.2882 0.5671 0.5000
Rh 0.4329 0.2882 0.5000
Rh 0.5000 0.0000 0.5000
Rh 0.5671 0.7118 0.5000
Rh 0.7118 0.4329 0.5000
Rh 0.7882 0.9329 0.5000
Rh 0.9329 0.2118 0.5000
```


(2)
Density functional theory data (PBE) for an optimized crystal structure of SrPtBr5. Values from VASP.

Computed properties:
As for the total DFT energy (no corrections): -46.56 eV for the cell shown. For the magnetization, the calculation gives 0.000 μB per atom. As for the uncorrected formation energy: -1.0273 eV per atom.

Cell and atoms, written as Quantum ESPRESSO input:
```
&SYSTEM
  ibrav = 0, nat = 14, ntyp = 3
/
ATOMIC_SPECIES
Sr 87.62 Sr.upf
Pt 195.08 Pt.upf
Br 79.90 Br.upf
CELL_PARAMETERS angstrom
4.7636 -5.2668 0.0000
4.7636 5.2668 0.0000
-3.6334 0.0000 9.3507
ATOMIC_POSITIONS crystal
Sr 0.0607 0.9393 0.7500
Sr 0.9393 0.0607 0.2500
Pt 0.0000 0.5000 0.0000
Pt 0.5000 0.0000 0.5000
Br 0.1984 0.2437 0.0574
Br 0.2317 0.7683 0.2500
Br 0.2340 0.6127 0.8761
Br 0.2437 0.1984 0.5574
Br 0.3873 0.7660 0.6239
Br 0.6127 0.2340 0.3761
Br 0.7563 0.8016 0.4426
Br 0.7660 0.3873 0.1239
Br 0.7683 0.2317 0.7500
Br 0.8016 0.7563 0.9426
```


(3)
Density functional theory data (PBE) for an optimized crystal structure of InTc2Se. Values from VASP.

Computed properties:
As for the total DFT energy (no corrections): -25.35 eV for the cell shown. For the magnetization, the calculation gives 0.000 μB per atom. As for the uncorrected formation energy: 0.4017 eV per atom.

Cell and atoms, written as Quantum ESPRESSO input:
```
&SYSTEM
  ibrav = 0, nat = 4, ntyp = 3
/
ATOMIC_SPECIES
In 114.82 In.upf
Tc 98.00 Tc.upf
Se 78.96 Se.upf
CELL_PARAMETERS angstrom
3.1115 0.0000 0.0000
0.0000 3.8917 0.0000
-1.3418 0.0000 5.6703
ATOMIC_POSITIONS crystal
In 0.0000 0.0000 0.0000
Tc 0.3607 0.5000 0.7167
Tc 0.6393 0.5000 0.2833
Se 0.5000 0.0000 0.5000
```


(4)
Density functional theory data (PBE) for an optimized crystal structure of Nd2Ho3Er3. Values from VASP.

Computed properties:
As for the total DFT energy (no corrections): -36.76 eV for the cell shown. Its formation energy from the elements is 0.0250 eV per atom. For the magnetization, the calculation gives 0.000 μB per atom.

Cell and atoms, written as Quantum ESPRESSO input:
```
&SYSTEM
  ibrav = 0, nat = 8, ntyp = 3
/
ATOMIC_SPECIES
Nd 144.24 Nd.upf
Ho 164.93 Ho.upf
Er 167.26 Er.upf
CELL_PARAMETERS angstrom
-2.5199 2.5199 10.0214
2.5199 -2.5199 10.0214
2.5199 2.5199 -10.0214
ATOMIC_POSITIONS crystal
Nd 0.2500 0.2500 0.0000
Nd 0.7500 0.7500 0.0000
Ho 0.0000 0.0000 0.0000
Ho 0.3775 0.8775 0.5000
Ho 0.6225 0.1225 0.5000
Er 0.1226 0.6226 0.5000
Er 0.5000 0.5000 0.0000
Er 0.8774 0.3774 0.5000
```


(5)
Density functional theory data (PBE) for an optimized crystal structure of TaNiPb2. Values from VASP.

Computed properties:
As for the total DFT energy (no corrections): -22.62 eV for the cell shown. Its formation energy from the elements is 0.6070 eV per atom. For the magnetization, the calculation gives 0.000 μB per atom.

Cell and atoms, written as Quantum ESPRESSO input:
```
&SYSTEM
  ibrav = 0, nat = 4, ntyp = 3
/
ATOMIC_SPECIES
Ta 180.95 Ta.upf
Ni 58.69 Ni.upf
Pb 207.20 Pb.upf
CELL_PARAMETERS angstrom
3.1974 0.0000 0.0000
0.0000 3.7209 0.0000
-0.1092 0.0000 6.7515
ATOMIC_POSITIONS crystal
Ta 0.0000 0.0000 0.0000
Ni 0.0000 0.0000 0.5000
Pb 0.4921 0.5000 0.7331
Pb 0.5079 0.5000 0.2669
```


(6)
Density functional theory data (PBE) for an optimized crystal structure of KSbRu. Values from VASP.

Computed properties:
As for the total DFT energy (no corrections): -30.30 eV for the cell shown. For the magnetization, the calculation gives 0.000 μB per atom. As for the uncorrected formation energy: -0.2178 eV per atom.

Cell and atoms, written as Quantum ESPRESSO input:
```
&SYSTEM
  ibrav = 0, nat = 6, ntyp = 3
/
ATOMIC_SPECIES
K 39.10 K.upf
Sb 121.76 Sb.upf
Ru 101.07 Ru.upf
CELL_PARAMETERS angstrom
4.4840 0.0000 0.0000
0.0000 4.4840 0.0000
0.0000 0.0000 8.1627
ATOMIC_POSITIONS crystal
K 0.2500 0.2500 0.1621
K 0.7500 0.7500 0.8379
Sb 0.2500 0.2500 0.6675
Sb 0.7500 0.7500 0.3325
Ru 0.2500 0.7500 0.5000
Ru 0.7500 0.2500 0.5000
```


(7)
Density functional theory data (PBE) for an optimized crystal structure of SrMo2S. Values from VASP.

Computed properties:
As for the total DFT energy (no corrections): -51.97 eV for the cell shown. For the magnetization, the calculation gives 0.000 μB per atom. As for the uncorrected formation energy: 0.3721 eV per atom.

Cell and atoms, written as Quantum ESPRESSO input:
```
&SYSTEM
  ibrav = 0, nat = 8, ntyp = 3
/
ATOMIC_SPECIES
Sr 87.62 Sr.upf
Mo 95.94 Mo.upf
S 32.06 S.upf
CELL_PARAMETERS angstrom
-2.2377 2.2377 9.0988
2.2377 -2.2377 9.0988
2.2377 2.2377 -9.0988
ATOMIC_POSITIONS crystal
Sr 0.0000 0.0000 0.0000
Sr 0.7500 0.2500 0.5000
Mo 0.2906 0.1250 0.6656
Mo 0.3750 0.7094 0.8344
Mo 0.4594 0.6250 0.3344
Mo 0.8750 0.5406 0.1656
S 0.2500 0.7500 0.5000
S 0.5000 0.5000 0.0000
```


(8)
Density functional theory data (PBE) for an optimized crystal structure of BaTl2CoCl6. Values from VASP.

Computed properties:
As for the total DFT energy (no corrections): -75.16 eV for the cell shown. For the magnetization, the calculation gives 0.300 μB per atom. As for the uncorrected formation energy: -1.2739 eV per atom.

Cell and atoms, written as Quantum ESPRESSO input:
```
&SYSTEM
  ibrav = 0, nat = 20, ntyp = 4
/
ATOMIC_SPECIES
Ba 137.33 Ba.upf
Tl 204.38 Tl.upf
Co 58.93 Co.upf
Cl 35.45 Cl.upf
CELL_PARAMETERS angstrom
7.3875 0.0000 0.0000
0.0000 7.6726 0.0000
-7.2001 0.0000 10.6287
ATOMIC_POSITIONS crystal
Ba 0.0000 0.0000 0.0000
Ba 0.0000 0.5000 0.5000
Tl 0.2767 0.0654 0.7540
Tl 0.2767 0.4346 0.2540
Tl 0.7233 0.5654 0.7460
Tl 0.7233 0.9346 0.2460
Co 0.5000 0.0000 0.5000
Co 0.5000 0.5000 0.0000
Cl 0.1803 0.0256 0.2805
Cl 0.1803 0.4744 0.7805
Cl 0.2781 0.6744 0.0496
Cl 0.2781 0.8256 0.5496
Cl 0.3858 0.2296 0.0552
Cl 0.3858 0.2704 0.5552
Cl 0.6142 0.7296 0.4448
Cl 0.6142 0.7704 0.9448
Cl 0.7219 0.1744 0.4504
Cl 0.7219 0.3256 0.9504
Cl 0.8197 0.5256 0.2195
Cl 0.8197 0.9744 0.7195
```


(9)
Density functional theory data (PBE) for an optimized crystal structure of SbOs2W. Values from VASP.

Computed properties:
As for the total DFT energy (no corrections): -36.56 eV for the cell shown. For the magnetization, the calculation gives 0.000 μB per atom. As for the uncorrected formation energy: 0.7426 eV per atom.

Cell and atoms, written as Quantum ESPRESSO input:
```
&SYSTEM
  ibrav = 0, nat = 4, ntyp = 3
/
ATOMIC_SPECIES
Sb 121.76 Sb.upf
Os 190.23 Os.upf
W 183.84 W.upf
CELL_PARAMETERS angstrom
1.5387 -2.4231 0.0000
1.5387 2.4231 0.0000
0.0000 0.0000 9.3120
ATOMIC_POSITIONS crystal
Sb 0.0000 0.0000 0.0000
Os 0.5000 0.5000 0.2760
Os 0.5000 0.5000 0.7240
W 0.0000 0.0000 0.5000
```


(10)
Density functional theory data (PBE) for an optimized crystal structure of MnCoSiNi. Values from VASP.

Computed properties:
As for the total DFT energy (no corrections): -28.96 eV for the cell shown. For the magnetization, the calculation gives 1.033 μB per atom. As for the uncorrected formation energy: -0.3712 eV per atom.

Cell and atoms, written as Quantum ESPRESSO input:
```
&SYSTEM
  ibrav = 0, nat = 4, ntyp = 4
/
ATOMIC_SPECIES
Mn 54.94 Mn.upf
Co 58.93 Co.upf
Si 28.09 Si.upf
Ni 58.69 Ni.upf
CELL_PARAMETERS angstrom
-1.8614 1.8614 3.2607
1.8614 -1.8614 3.2607
1.8614 1.8614 -3.2607
ATOMIC_POSITIONS crystal
Mn 0.0000 0.0000 0.0000
Co 0.2500 0.7500 0.5000
Si 0.5000 0.5000 0.0000
Ni 0.7500 0.2500 0.5000
```


(11)
Density functional theory data (PBE) for an optimized crystal structure of CoPdRh6. Values from VASP.

Computed properties:
As for the total DFT energy (no corrections): -55.97 eV for the cell shown. Its formation energy from the elements is 0.0545 eV per atom. For the magnetization, the calculation gives 0.388 μB per atom.

Cell and atoms, written as Quantum ESPRESSO input:
```
&SYSTEM
  ibrav = 0, nat = 8, ntyp = 3
/
ATOMIC_SPECIES
Co 58.93 Co.upf
Pd 106.42 Pd.upf
Rh 102.91 Rh.upf
CELL_PARAMETERS angstrom
4.2762 -1.9105 0.0000
4.2762 1.9105 0.0000
-3.4367 0.0000 6.8545
ATOMIC_POSITIONS crystal
Co 0.0000 0.0000 0.0000
Pd 0.0000 0.0000 0.5000
Rh 0.2467 0.2467 0.3678
Rh 0.2528 0.2528 0.8808
Rh 0.4984 0.4984 0.7567
Rh 0.5016 0.5016 0.2433
Rh 0.7472 0.7472 0.1192
Rh 0.7533 0.7533 0.6322
```


Taking the records one at a time from the top gives theoretical density values of 9.51 4.83 9.43 8.38 13.52 5.30 5.68 4.51 16.41 7.37 11.61 g/cm³.